No. 1
An optimized crystal structure of LaCe2Os9, computed with PBE.

## Properties
The calculated formation energy is -0.021 eV per atom. The value obtained for the calculated density is 16.1 Mg/m³. For the total energy, the calculation gives -9.8429 eV/atom.

```
data_LaCe2Os9
_symmetry_space_group_name_H-M 'R -3 m'
_symmetry_Int_Tables_number 166
_symmetry_space_group_name_Hall '-R 3 2"'
_cell_length_a 5.3732
_cell_length_b 5.3732
_cell_length_c 26.3862
_cell_angle_alpha 90.00
_cell_angle_beta 90.00
_cell_angle_gamma 120.00
loop_
_atom_site_label
_atom_site_type_symbol
_atom_site_fract_x
_atom_site_fract_y
_atom_site_fract_z
La1 La 0.0000 0.0000 0.0000
Ce1 Ce 0.0000 0.0000 0.1400
Os1 Os 0.0000 0.0000 0.3386
Os2 Os 0.0000 0.0000 0.5000
Os3 Os 0.0097 0.5048 0.9172
```

***

No. 2
An optimized crystal structure of La2Ce5Os3, computed with PBE.

## Properties
The calculated formation energy is -0.094 eV per atom. The value obtained for the calculated density is 10.0 Mg/m³. For the total energy, the calculation gives -7.4150 eV/atom.

```
data_La2Ce5Os3
_symmetry_space_group_name_H-M 'C 1 2/c 1'
_symmetry_Int_Tables_number 15
_symmetry_space_group_name_Hall '-C 2yc'
_cell_length_a 11.295
_cell_length_b 15.468
_cell_length_c 6.243
_cell_angle_alpha 90.00
_cell_angle_beta 109.58
_cell_angle_gamma 90.00
loop_
_atom_site_label
_atom_site_type_symbol
_atom_site_fract_x
_atom_site_fract_y
_atom_site_fract_z
La1 La 0.108 0.206 0.059
Ce1 Ce 0.000 0.013 0.250
Ce2 Ce 0.130 0.348 0.536
Ce3 Ce 0.207 0.445 0.095
Os1 Os 0.000 0.496 0.250
Os2 Os 0.152 0.148 0.589
```

***

No. 3
An optimized crystal structure of LaCeOs, computed with PBE.

## Properties
The value obtained for the energy above the most stable polymorph in this dataset is 66 meV/atom. The calculated formation energy is -0.062 eV per atom. The value obtained for the calculated density is 9.3 Mg/m³. For the total energy, the calculation gives -7.4256 eV/atom.

```
data_LaCeOs
_symmetry_space_group_name_H-M 'F -4 3 m'
_symmetry_Int_Tables_number 216
_symmetry_space_group_name_Hall 'F -4 2 3'
_cell_length_a 6.937
_cell_length_b 6.937
_cell_length_c 6.937
_cell_angle_alpha 90.00
_cell_angle_beta 90.00
_cell_angle_gamma 90.00
loop_
_atom_site_label
_atom_site_type_symbol
_atom_site_fract_x
_atom_site_fract_y
_atom_site_fract_z
La1 La 0.000 0.000 0.000
Ce1 Ce 0.000 0.000 0.500
Os1 Os 0.250 0.250 0.750
```

***

No. 4
An optimized crystal structure of LaCe2Os, computed with PBE.

## Properties
The value obtained for the energy above the most stable polymorph in this dataset is 1 meV/atom. The calculated formation energy is -0.133 eV per atom. The value obtained for the calculated density is 9.4 Mg/m³. For the total energy, the calculation gives -7.1388 eV/atom.

```
data_LaCe2Os
_symmetry_space_group_name_H-M 'C m c m'
_symmetry_Int_Tables_number 63
_symmetry_space_group_name_Hall '-C 2c 2'
_cell_length_a 3.836
_cell_length_b 11.893
_cell_length_c 9.470
_cell_angle_alpha 90.00
_cell_angle_beta 90.00
_cell_angle_gamma 90.00
loop_
_atom_site_label
_atom_site_type_symbol
_atom_site_fract_x
_atom_site_fract_y
_atom_site_fract_z
La1 La 0.000 0.076 0.250
Ce1 Ce 0.000 0.358 0.059
Os1 Os 0.000 0.210 0.750
```

***

No. 5
An optimized crystal structure of LaCeOs, computed with PBE.

## Properties
The value obtained for the energy above the most stable polymorph in this dataset is 0 meV/atom. The calculated formation energy is -0.128 eV per atom. The value obtained for the calculated density is 9.8 Mg/m³. For the total energy, the calculation gives -7.4919 eV/atom.

```
data_LaCeOs
_symmetry_space_group_name_H-M 'P -1'
_symmetry_Int_Tables_number 2
_symmetry_space_group_name_Hall '-P 1'
_cell_length_a 4.681
_cell_length_b 4.726
_cell_length_c 7.195
_cell_angle_alpha 89.55
_cell_angle_beta 89.29
_cell_angle_gamma 85.36
loop_
_atom_site_label
_atom_site_type_symbol
_atom_site_fract_x
_atom_site_fract_y
_atom_site_fract_z
La1 La 0.249 0.251 0.117
Ce1 Ce 0.236 0.765 0.499
Os1 Os 0.310 0.315 0.731
```

***

No. 6
An optimized crystal structure of LaCe2Os2, computed with PBE.

## Properties
The value obtained for the energy above the most stable polymorph in this dataset is 273 meV/atom. The calculated formation energy is 0.199 eV per atom. The value obtained for the calculated density is 11.6 Mg/m³. For the total energy, the calculation gives -7.6517 eV/atom.

```
data_LaCe2Os2
_symmetry_space_group_name_H-M 'C 1 2/m 1'
_symmetry_Int_Tables_number 12
_symmetry_space_group_name_Hall '-C 2y'
_cell_length_a 5.292
_cell_length_b 7.439
_cell_length_c 5.849
_cell_angle_alpha 90.00
_cell_angle_beta 95.84
_cell_angle_gamma 90.00
loop_
_atom_site_label
_atom_site_type_symbol
_atom_site_fract_x
_atom_site_fract_y
_atom_site_fract_z
La1 La 0.000 0.000 0.000
Ce1 Ce 0.000 0.195 0.500
Os1 Os 0.012 0.500 0.761
```

***

No. 7
An optimized crystal structure of La3Ce5Os2, computed with PBE.

## Properties
The calculated formation energy is -0.006 eV per atom. The value obtained for the calculated density is 9.0 Mg/m³. For the total energy, the calculation gives -6.6975 eV/atom.

```
data_La3Ce5Os2
_symmetry_space_group_name_H-M 'I b a m'
_symmetry_Int_Tables_number 72
_symmetry_space_group_name_Hall '-I 2 2c'
_cell_length_a 11.601
_cell_length_b 14.048
_cell_length_c 6.808
_cell_angle_alpha 90.00
_cell_angle_beta 90.00
_cell_angle_gamma 90.00
loop_
_atom_site_label
_atom_site_type_symbol
_atom_site_fract_x
_atom_site_fract_y
_atom_site_fract_z
La1 La 0.000 0.000 0.250
La2 La 0.221 0.171 0.000
Ce1 Ce 0.000 0.284 0.250
Ce2 Ce 0.000 0.500 0.250
Ce3 Ce 0.191 0.433 0.000
Os1 Os 0.115 0.163 0.500
```

***

No. 8
An optimized crystal structure of LaCe2Os, computed with PBE.

## Properties
The value obtained for the energy above the most stable polymorph in this dataset is 170 meV/atom. The calculated formation energy is 0.037 eV per atom. The value obtained for the calculated density is 10.4 Mg/m³. For the total energy, the calculation gives -6.9697 eV/atom.

```
data_LaCe2Os
_symmetry_space_group_name_H-M 'R -3 m'
_symmetry_Int_Tables_number 166
_symmetry_space_group_name_Hall '-R 3 2"'
_cell_length_a 4.6596
_cell_length_b 4.6596
_cell_length_c 15.5675
_cell_angle_alpha 90.00
_cell_angle_beta 90.00
_cell_angle_gamma 120.00
loop_
_atom_site_label
_atom_site_type_symbol
_atom_site_fract_x
_atom_site_fract_y
_atom_site_fract_z
La1 La 0.0000 0.0000 0.0000
Ce1 Ce 0.0000 0.0000 0.2375
Os1 Os 0.0000 0.0000 0.5000
```